Record 1
First-principles (GGA-PBE) data for V5Mo4Ru after structural relaxation, as listed in the Alexandria database.

- Energy of formation from the pure elements: -186 meV per atom
- V: 143.53 Å³/cell

```
data_V5Mo4Ru
_chemical_formula_sum 'V5 Mo4 Ru1'
_cell_length_a 3.0589
_cell_length_b 3.0589
_cell_length_c 15.3396
_cell_angle_alpha 90.00
_cell_angle_beta 90.00
_cell_angle_gamma 90.00
_symmetry_space_group_name_H-M 'P 4/m m m'
_symmetry_Int_Tables_number 123
_symmetry_space_group_name_Hall '-P 4 2'
loop_
_atom_site_label
_atom_site_fract_x
_atom_site_fract_y
_atom_site_fract_z
V1 0.0000 0.0000 0.0000
V2 0.0000 0.0000 0.2019
V3 0.0000 0.0000 0.4004
Mo1 0.5000 0.5000 0.1005
Mo2 0.5000 0.5000 0.3021
Ru1 0.5000 0.5000 0.5000
```


Record 2
First-principles (GGA-PBE) data for VMoRuW after structural relaxation, as listed in the Alexandria database.

- Energy of formation from the pure elements: -66 meV per atom
- V: 238.57 Å³/cell

```
data_VMoRuW
_chemical_formula_sum 'V4 Mo4 Ru4 W4'
_cell_length_a 6.2021
_cell_length_b 6.2021
_cell_length_c 6.2021
_cell_angle_alpha 90.00
_cell_angle_beta 90.00
_cell_angle_gamma 90.00
_symmetry_space_group_name_H-M 'F -4 3 m'
_symmetry_Int_Tables_number 216
_symmetry_space_group_name_Hall 'F -4 2 3'
loop_
_atom_site_label
_atom_site_fract_x
_atom_site_fract_y
_atom_site_fract_z
V1 0.0000 0.0000 0.0000
Mo1 0.2500 0.2500 0.2500
Ru1 0.2500 0.2500 0.7500
W1 0.0000 0.0000 0.5000
```


Record 3
First-principles (GGA-PBE) data for VZnMoRu2 after structural relaxation, as listed in the Alexandria database.

- Energy of formation from the pure elements: 1308 meV per atom
- V: 86.22 Å³/cell

```
data_VZnMoRu2
_chemical_formula_sum 'V1 Zn1 Mo1 Ru2'
_cell_length_a 4.3309
_cell_length_b 4.3309
_cell_length_c 4.5966
_cell_angle_alpha 90.00
_cell_angle_beta 90.00
_cell_angle_gamma 90.00
_symmetry_space_group_name_H-M 'P 4/m m m'
_symmetry_Int_Tables_number 123
_symmetry_space_group_name_Hall '-P 4 2'
loop_
_atom_site_label
_atom_site_fract_x
_atom_site_fract_y
_atom_site_fract_z
V1 0.0000 0.0000 0.0000
Zn1 0.0000 0.0000 0.5000
Mo1 0.5000 0.5000 0.5000
Ru1 0.0000 0.5000 0.0000
```


Record 4
First-principles (GGA-PBE) data for ZrVMoRu after structural relaxation, as listed in the Alexandria database.

- Energy of formation from the pure elements: -203 meV per atom
- V: 255.75 Å³/cell

```
data_ZrVMoRu
_chemical_formula_sum 'Zr4 V4 Mo4 Ru4'
_cell_length_a 6.3476
_cell_length_b 6.3476
_cell_length_c 6.3476
_cell_angle_alpha 90.00
_cell_angle_beta 90.00
_cell_angle_gamma 90.00
_symmetry_space_group_name_H-M 'F -4 3 m'
_symmetry_Int_Tables_number 216
_symmetry_space_group_name_Hall 'F -4 2 3'
loop_
_atom_site_label
_atom_site_fract_x
_atom_site_fract_y
_atom_site_fract_z
Zr1 0.0000 0.0000 0.0000
V1 0.0000 0.0000 0.5000
Mo1 0.2500 0.2500 0.7500
Ru1 0.2500 0.2500 0.2500
```